# 1
Nd8SmSc2 | GGA-PBE | optimized geometry

The space group is Immm (No. 71) and the conventional cell measures 5.5454, 8.4530 and 15.7680 Å, with angles of 90.00, 90.00 and 90.00 degrees. The distinct sites, in fractional coordinates, are Nd at (0.0000, 0.0000, 0.1612), Nd at (0.0000, 0.2025, 0.3559), Nd at (0.0000, 0.3007, 0.0000), Sm at (0.0000, 0.5000, 0.5000) and Sc at (0.0000, 0.5000, 0.2004).

The value obtained for the formation enthalpy at 0 K is 0.121 eV/atom. The energy above the most stable polymorph in this dataset comes out at 0 meV per atom. Its raw total energy is -4.927 eV per atom.

=====

# 2
Nd2SmSc3 | GGA-PBE | optimized geometry

The space group is P4/mmm (No. 123) and the conventional cell measures 3.5827, 3.5827 and 13.6537 Å, with angles of 90.00, 90.00 and 90.00 degrees. The distinct sites, in fractional coordinates, are Nd at (0.0000, 0.0000, 0.1673), Sm at (0.0000, 0.0000, 0.5000), Sc at (0.5000, 0.5000, 0.0000) and Sc at (0.5000, 0.5000, 0.3347).

The value obtained for the formation enthalpy at 0 K is 0.050 eV/atom. The energy above the most stable polymorph in this dataset comes out at 0 meV per atom. Its raw total energy is -5.491 eV per atom.

=====

# 3
Nd4Sm5Sc2 | GGA-PBE | optimized geometry

The space group is Immm (No. 71) and the conventional cell measures 3.4834, 9.5310 and 22.4596 Å, with angles of 90.00, 90.00 and 90.00 degrees. The distinct sites, in fractional coordinates, are Nd at (0.0000, 0.0000, 0.0981), Nd at (0.0000, 0.2952, 0.5000), Sm at (0.0000, 0.2115, 0.3423), Sm at (0.0000, 0.5000, 0.0000) and Sc at (0.0000, 0.0000, 0.2303).

The value obtained for the formation enthalpy at 0 K is 0.274 eV/atom. The energy above the most stable polymorph in this dataset comes out at 161 meV per atom. Its raw total energy is -4.756 eV per atom.

=====

# 4
Nd6Sm2Sc3 | GGA-PBE | optimized geometry

The space group is P-1 (No. 2) and the conventional cell measures 5.9346, 5.9363 and 12.0222 Å, with angles of 76.71, 76.62 and 67.81 degrees. The distinct sites, in fractional coordinates, are Nd at (0.0219, 0.0401, 0.3547), Nd at (0.4512, 0.9514, 0.8621), Nd at (0.4599, 0.4776, 0.6454), Sm at (0.1731, 0.6730, 0.1590), Sc at (0.0000, 0.5000, 0.5000) and Sc at (0.1265, 0.6268, 0.8967).

The value obtained for the formation enthalpy at 0 K is 0.348 eV/atom. Its raw total energy is -4.837 eV per atom.

=====

# 5
Nd2Sm3Sc | GGA-PBE | optimized geometry

The space group is Pnnm (No. 58) and the conventional cell measures 6.6947, 17.6061 and 3.3825 Å, with angles of 90.00, 90.00 and 90.00 degrees. The distinct sites, in fractional coordinates, are Nd at (0.2492, 0.1476, 0.0000), Sm at (0.0000, 0.0000, 0.5000), Sm at (0.2473, 0.8222, 0.0000) and Sc at (0.0000, 0.5000, 0.5000).

The value obtained for the formation enthalpy at 0 K is 0.261 eV/atom. The energy above the most stable polymorph in this dataset comes out at 225 meV per atom. Its raw total energy is -4.743 eV per atom.

=====

# 6
Nd6Sm4Sc | GGA-PBE | optimized geometry

The space group is Cmcm (No. 63) and the conventional cell measures 5.9030, 9.7069 and 25.9035 Å, with angles of 90.00, 90.00 and 90.00 degrees. The distinct sites, in fractional coordinates, are Nd at (0.0000, 0.0000, 0.0000), Nd at (0.0000, 0.0516, 0.2500), Nd at (0.0000, 0.2953, 0.6067), Nd at (0.0000, 0.3808, 0.1841), Sm at (0.0000, 0.0500, 0.1234), Sm at (0.0000, 0.3532, 0.0449) and Sc at (0.0000, 0.2869, 0.7500).

The value obtained for the formation enthalpy at 0 K is 0.124 eV/atom. Its raw total energy is -4.768 eV per atom.

=====

no.,volume (Å³ per cell),size of the total moment (Bohr magnetons per cell)
1,739.1,0.0
2,175.3,0.0
3,745.7,0.0
4,376.7,0.0
5,398.7,0.0
6,1484.3,0.0